LuInCoPd | GGA-PBE | optimized geometry

Cell and atoms, written as CIF:
```
data_LuInCoPd
_chemical_formula_sum 'Lu4 In4 Co4 Pd4'
_symmetry_space_group_name_H-M 'F -4 3 m'
_symmetry_Int_Tables_number 216
_symmetry_space_group_name_Hall 'F -4 2 3'
_cell_length_a 6.553
_cell_length_b 6.553
_cell_length_c 6.553
_cell_angle_alpha 90.00
_cell_angle_beta 90.00
_cell_angle_gamma 90.00
loop_
_atom_site_label
_atom_site_type_symbol
_atom_site_fract_x
_atom_site_fract_y
_atom_site_fract_z
Lu1 Lu 0.000 0.000 0.000
In1 In 0.000 0.000 0.500
Co1 Co 0.250 0.250 0.750
Pd1 Pd 0.250 0.250 0.250
```

## Properties
M_tot = 0.9 μB per formula unit
Final energy = -5.36 eV per atom
E above lowest polymorph = 0 meV per atom